# TaPt4Rh

A relaxed TaPt4Rh crystal (GGA-PBEsol, Alexandria via LeMat-Bulk).

Geometry as POSCAR:
```
TaPt4Rh
1.0
5.1127 0.0000 0.0000
2.5564 4.4277 0.0000
2.5564 1.4759 4.1745
Pt Rh Ta
4 1 1
direct
0.3753 0.3753 0.3753
0.3753 0.3753 0.8741
0.8741 0.3753 0.3753
0.3753 0.8741 0.3753
0.7500 0.7500 0.7500
0.0000 0.0000 0.0000
```

Calculated values
**Formation enthalpy at 0 K**: -0.122 eV per atom

# TaPt2Rh

A relaxed TaPt2Rh crystal (GGA-PBEsol, Alexandria via LeMat-Bulk).

Geometry as POSCAR:
```
TaPt2Rh
1.0
2.7830 0.0000 0.0000
0.0000 4.7922 0.0024
-1.3915 -0.8320 4.5249
Pt Rh Ta
2 1 1
direct
0.9975 0.9986 0.9949
0.7516 0.2528 0.5033
0.5026 0.5024 0.0052
0.2483 0.7462 0.4965
```

Calculated values
**Formation enthalpy at 0 K**: -0.456 eV per atom

# TaPt2Rh

A relaxed TaPt2Rh crystal (GGA-PBEsol, Alexandria via LeMat-Bulk).

Geometry as POSCAR:
```
TaPt2Rh
1.0
3.9142 0.0000 0.0000
0.0000 3.9142 0.0000
-1.9571 -1.9571 3.9113
Rh Pt Ta
1 2 1
direct
0.0000 0.0000 0.0000
0.5000 0.5000 0.0000
0.7500 0.2500 0.5000
0.2500 0.7500 0.5000
```

Calculated values
**Formation enthalpy at 0 K**: -0.669 eV per atom

Table of theoretical density (g/cm3), in record order: 18.699 18.545 18.677